Compound: BaLaSi2C
Source: Alexandria
Functional: PBE
Structure: relaxed

Results
Formation energy (no corrections), eV/atom: 2.5555
Calculated volume, Å³ per cell: 181.8
Magnetic moment, Bohr magnetons per cell: 2.2
Calculated total energy, eV per formula unit: -14.14

a b c (Å): 5.5010 5.5010 6.0091
angles (deg): 90.00 90.00 90.00
Last column: nearest neighbours and their distance in Å.
Sites, in units of the cell vectors:
Ba1 0.0000 0.0000 0.0000  4 Si 2.75, 2 La 3.00
La1 0.0000 0.0000 0.5000  2 Ba 3.00
Si1 0.0000 0.5000 0.0000  2 Ba 2.75
Si2 0.5000 0.0000 0.0000  2 Ba 2.75
C1 0.5000 0.5000 0.5000  4 La 3.89, 8 Si 4.07

***

Compound: BaLi2C
Source: Alexandria
Functional: PBE
Structure: relaxed

Results
Calculated volume, Å³ per cell: 162.1
Magnetic moment, Bohr magnetons per cell: 0.0
Energy relative to the elements, eV per atom: 0.54
Calculated total energy, eV per formula unit: -12.82

a b c (Å): 7.0985 7.0985 7.0985
angles (deg): 137.38 137.38 61.86
Last column: nearest neighbours and their distance in Å.
Sites, in units of the cell vectors:
Ba1 0.3750 0.6250 0.7500  8 Li 3.26, 4 C 3.65
Ba2 0.6250 0.3750 0.2500  8 Li 3.26, 4 C 3.65
Li1 0.0000 0.0000 0.0000  2 C 2.00
Li2 0.0000 0.0000 0.5000  2 C 2.00
Li3 0.0000 0.5000 0.0000  2 C 2.00
Li4 0.5000 0.0000 0.5000  2 C 2.00
C1 0.1250 0.8750 0.2500  4 Li 2.00
C2 0.8750 0.1250 0.7500  4 Li 2.00

***

Compound: BaLiC2
Source: Alexandria
Functional: PBE
Structure: relaxed

Results
Calculated volume, Å³ per cell: 127.7
Magnetic moment, Bohr magnetons per cell: 0.0
Excess energy over the best structure of this formula in the dataset, kJ/mol of atoms: 0.0
Energy relative to the elements, eV per atom: 1.25
Calculated total energy, eV per formula unit: -17.29

a b c (Å): 7.9527 7.9527 7.9527
angles (deg): 149.70 149.70 43.38
Last column: nearest neighbours and their distance in Å.
Sites, in units of the cell vectors:
Ba1 0.3750 0.6250 0.7500  4 Li 2.94, 8 C 2.97
Ba2 0.6250 0.3750 0.2500  4 Li 2.94, 8 C 2.97
Li1 0.1250 0.8750 0.2500  4 C 2.12
Li2 0.8750 0.1250 0.7500  4 C 2.12
C1 0.0000 0.0000 0.0000  2 C 2.08, 2 Li 2.12
C2 0.0000 0.0000 0.5000  2 C 2.08, 2 Li 2.12
C3 0.0000 0.5000 0.0000  2 C 2.08, 2 Li 2.12
C4 0.5000 0.0000 0.5000  2 C 2.08, 2 Li 2.12

***

Compound: BaLi3C
Source: Alexandria
Functional: PBE
Structure: relaxed

Results
Calculated volume, Å³ per cell: 86.9
Magnetic moment, Bohr magnetons per cell: 0.8
Excess energy over the best structure of this formula in the dataset, kJ/mol of atoms: 0.0
Energy relative to the elements, eV per atom: 0.43
Calculated total energy, eV per formula unit: -14.76

a b c (Å): 4.4295 4.4295 4.4295
angles (deg): 90.00 90.00 90.00
Last column: nearest neighbours and their distance in Å.
Sites, in units of the cell vectors:
Ba1 0.0000 0.0000 0.0000  12 Li 3.13
Li1 0.0000 0.5000 0.5000  2 C 2.21
Li2 0.5000 0.0000 0.5000  2 C 2.21
Li3 0.5000 0.5000 0.0000  2 C 2.21
C1 0.5000 0.5000 0.5000  6 Li 2.21

***

Compound: BaLiC2
Source: Alexandria
Functional: PBE
Structure: relaxed

Results
Calculated volume, Å³ per cell: 69.1
Magnetic moment, Bohr magnetons per cell: 0.0
Excess energy over the best structure of this formula in the dataset, kJ/mol of atoms: 49.7
Energy relative to the elements, eV per atom: 1.76
Calculated total energy, eV per formula unit: -15.23

a b c (Å): 4.6057 4.6057 4.6057
angles (deg): 60.00 60.00 60.00
Last column: nearest neighbours and their distance in Å.
Sites, in units of the cell vectors:
Ba1 0.0000 0.0000 0.0000  8 C 2.82
Li1 0.5000 0.5000 0.5000  8 C 2.82
C1 0.2500 0.2500 0.2500  4 Li 2.82, 4 Ba 2.82
C2 0.7500 0.7500 0.7500  4 Li 2.82, 4 Ba 2.82

***

Compound: BaLi3C
Source: Alexandria
Functional: PBE
Structure: relaxed

Results
Calculated volume, Å³ per cell: 147.8
Magnetic moment, Bohr magnetons per cell: 0.0
Excess energy over the best structure of this formula in the dataset, kJ/mol of atoms: 182.6
Energy relative to the elements, eV per atom: 2.32
Calculated total energy, eV per formula unit: -5.30

a b c (Å): 5.2869 5.2869 5.2869
angles (deg): 90.00 90.00 90.00
Last column: nearest neighbours and their distance in Å.
Sites, in units of the cell vectors:
Ba1 0.0000 0.0000 0.0000  6 Li 2.64
Li1 0.0000 0.0000 0.5000  2 Ba 2.64
Li2 0.0000 0.5000 0.0000  2 Ba 2.64
Li3 0.5000 0.0000 0.0000  2 Ba 2.64
C1 0.5000 0.5000 0.5000  12 Li 3.74